Entry from Alexandria via LeMat-Bulk: SrPm3Bi3 after structural relaxation (GGA-PBE).

```
SrPm3Bi3
1.0
4.801 2.772 6.414
-4.801 2.772 6.414
0.000 -5.543 6.414
Sr Pm Bi
2 6 6
Cartesian
0.000 0.000 3.199
0.000 0.000 16.042
-1.244 -2.213 7.975
-2.538 -0.029 11.266
-1.294 2.184 7.975
1.294 -2.184 11.266
2.538 0.029 7.975
1.244 2.213 11.266
-3.624 -0.036 8.033
-1.781 -3.157 11.208
1.843 -3.120 8.033
-1.843 3.120 11.208
1.781 3.157 8.033
3.624 0.036 11.208
```

Summary:
N(E_F)   0.709 states/eV/atom
Space-group type   R-3, No. 148
Final energy   -4.65 eV per atom